Entry 1:
## HoNb2 (GGA-PBE)

Data for an optimized crystal structure of HoNb2.

Cell lengths 8.091, 8.091, 8.091 Å; angles 90.00, 90.00, 90.00 degrees
Space group Fd-3m (No. 227, origin choice 2)
One atom of each set of equivalent atoms:
Ho: 0.125 0.125 0.125
Nb: 0.000 0.000 0.500

total magnetization: 0.0 μB per formula unit
E above lowest polymorph: 0 meV/atom
energy relative to the elements: 0.194 eV/atom

---

Entry 2:
## TmBi (GGA-PBE)

Data for an optimized crystal structure of TmBi.

Cell lengths 6.303, 5.240, 7.610 Å; angles 90.00, 90.00, 90.00 degrees
Space group Pmma (No. 51)
One atom of each set of equivalent atoms:
Tm: 0.000 0.000 0.000
Tm: 0.250 0.500 0.240
Bi: 0.250 0.000 0.404
Bi: 0.250 0.500 0.817

total magnetization: 0.0 μB per formula unit

---

Entry 3:
## Be2AgAs (GGA-PBE)

Data for an optimized crystal structure of Be2AgAs.

Cell lengths 6.153, 6.153, 6.153 Å; angles 90.00, 90.00, 90.00 degrees
Space group F-43m (No. 216)
One atom of each set of equivalent atoms:
Be: 0.000 0.000 0.000
Be: 0.250 0.250 0.250
Ag: 0.000 0.000 0.500
As: 0.250 0.250 0.750

---

Entry 4:
## Cs2TbScTe4 (GGA-PBE)

Data for an optimized crystal structure of Cs2TbScTe4.

Cell lengths 4.4623, 4.4623, 17.7178 Å; angles 90.00, 90.00, 120.00 degrees
Space group P-3m1 (No. 164)
One atom of each set of equivalent atoms:
Cs: 0.3333 0.6667 0.2449
Tb: 0.0000 0.0000 0.5000
Sc: 0.0000 0.0000 0.0000
Te: 0.3333 0.6667 0.5982
Te: 0.3333 0.6667 0.9121

total magnetization: 0.0 μB per formula unit

---

So what do the calculations give for total DFT energy (no corrections)? Going down the list: -8.06 -4.60 -3.13 -4.46 eV/atom.